Entry 1:
Density functional theory data (SCAN) for a crystal of LiNbCr2Ga relaxed with PBEsol.

Values from the calculation:
total DFT energy (no corrections)	-16.726	eV per atom
M_tot	5.44	μB per formula unit
energy of formation from the pure elements	1001	meV per atom

Cell lengths 3.9828, 3.9828, 4.2916 Å; angles 90.00, 90.00, 90.00 degrees
Last column: nearest neighbours and their distance in Å.
Space group P4/mmm (No. 123)
Symmetry-distinct sites (fractional):
Li: 0.0000 0.0000 0.0000 x1  4 Cr 1.99, 2 Nb 2.15
Nb: 0.0000 0.0000 0.5000 x1  2 Li 2.15
Cr: 0.0000 0.5000 0.0000 x2  2 Li 1.99
Ga: 0.5000 0.5000 0.5000 x1  4 Nb 2.82, 8 Cr 2.93

Entry 2:
Density functional theory data (SCAN) for a crystal of Li4CrGa3O8 relaxed with PBEsol.

Values from the calculation:
total DFT energy (no corrections)	-10.109	eV per atom
energy relative to the elements, uncorrected	-2.181	eV/atom
M_tot	3.00	μB per formula unit

Cell lengths 4.9387, 5.4148, 6.4440 Å; angles 88.16, 88.98, 89.74 degrees
Last column: nearest neighbours and their distance in Å.
Space group P1 (No. 1)
Symmetry-distinct sites (fractional):
Li: 0.0000 0.0000 0.0000 x1  4 O 1.96-1.97
Li: 0.0013 0.5077 0.7390 x1  4 O 1.94-2.03
Li: 0.4895 0.6694 0.4911 x1  4 O 1.97-2.02
Li: 0.4912 0.1610 0.2484 x1  4 O 1.97-1.99
Cr: 0.9902 0.0021 0.5002 x1  4 O 1.86-1.89
Ga: 0.5029 0.6677 0.9915 x1  4 O 1.85-1.86
Ga: 0.5058 0.1756 0.7536 x1  4 O 1.85-1.88
Ga: 0.9979 0.4948 0.2394 x1  4 O 1.85-1.87
O: 0.3695 0.0232 0.5238 x1  1 Ga 1.86, 1 Cr 1.89, 2 Li 1.99-2.02
O: 0.3746 0.5096 0.2325 x1  2 Ga 1.85-1.86, 2 Li 1.97-1.99
O: 0.3970 0.5023 0.7581 x1  2 Ga 1.85-1.86, 2 Li 1.96-1.97
O: 0.3970 0.9955 0.9901 x1  2 Ga 1.85-1.86, 2 Li 1.96-1.98
O: 0.8788 0.6532 0.9986 x1  2 Ga 1.85-1.86, 2 Li 1.96-1.97
O: 0.8869 0.1655 0.7412 x1  1 Cr 1.87, 1 Ga 1.88, 2 Li 1.94-1.96
O: 0.8880 0.6724 0.4665 x1  1 Ga 1.85, 1 Cr 1.88, 2 Li 1.97-2.03
O: 0.8897 0.1647 0.2540 x1  1 Cr 1.86, 1 Ga 1.87, 2 Li 1.96-1.97

Entry 3:
Density functional theory data (SCAN) for a crystal of LiCr2GaSe relaxed with PBEsol.

Values from the calculation:
total DFT energy (no corrections)	-14.741	eV per atom
energy relative to the elements, uncorrected	0.376	eV/atom
M_tot	7.30	μB per formula unit

Cell lengths 4.6415, 4.6415, 4.4434 Å; angles 90.00, 90.00, 90.00 degrees
Last column: nearest neighbours and their distance in Å.
Space group P4/mmm (No. 123)
Symmetry-distinct sites (fractional):
Li: 0.0000 0.0000 0.0000 x1  2 Ga 2.22
Cr: 0.0000 0.5000 0.5000 x2  2 Ga 2.32
Ga: 0.0000 0.0000 0.5000 x1  2 Li 2.22, 4 Cr 2.32
Se: 0.5000 0.5000 0.0000 x1  8 Cr 3.21, 4 Li 3.28

Entry 4:
Density functional theory data (SCAN) for a crystal of MgCrGaRh2 relaxed with PBEsol.

Values from the calculation:
total DFT energy (no corrections)	-20.971	eV per atom
M_tot	0.00	μB per formula unit
energy of formation from the pure elements	478	meV per atom

Cell lengths 4.4177, 4.4177, 4.5524 Å; angles 90.00, 90.00, 90.00 degrees
Last column: nearest neighbours and their distance in Å.
Space group P4/mmm (No. 123)
Symmetry-distinct sites (fractional):
Mg: 0.0000 0.0000 0.0000 x1  4 Ga 3.12, 8 Rh 3.17
Cr: 0.5000 0.5000 0.5000 x1  4 Rh 2.21, 2 Ga 2.28
Ga: 0.5000 0.5000 0.0000 x1  2 Cr 2.28
Rh: 0.0000 0.5000 0.5000 x2  2 Cr 2.21

Entry 5:
Density functional theory data (SCAN) for a crystal of Mg2TiCrGa relaxed with PBEsol.

Values from the calculation:
total DFT energy (no corrections)	-11.097	eV per atom
M_tot	1.02	μB per formula unit
energy of formation from the pure elements	1045	meV per atom

Cell lengths 5.3259, 5.3259, 4.0488 Å; angles 90.00, 90.00, 90.00 degrees
Last column: nearest neighbours and their distance in Å.
Space group P4/mmm (No. 123)
Symmetry-distinct sites (fractional):
Mg: 0.0000 0.5000 0.0000 x2  2 Ti 2.66
Ti: 0.0000 0.0000 0.0000 x1  2 Cr 2.02
Cr: 0.0000 0.0000 0.5000 x1  2 Ti 2.02
Ga: 0.5000 0.5000 0.5000 x1  8 Mg 3.35

Entry 6:
Density functional theory data (SCAN) for a crystal of Mn3CrGa relaxed with PBEsol.

Values from the calculation:
total DFT energy (no corrections)	-17.131	eV per atom
M_tot	16.09	μB per formula unit
energy of formation from the pure elements	769	meV per atom

Cell lengths 4.5345, 4.5345, 4.5345 Å; angles 90.00, 90.00, 90.00 degrees
Last column: nearest neighbours and their distance in Å.
Space group Pm-3m (No. 221)
Symmetry-distinct sites (fractional):
Mn: 0.0000 0.0000 0.5000 x3  2 Ga 2.27
Cr: 0.5000 0.5000 0.5000 x1  12 Mn 3.21
Ga: 0.0000 0.0000 0.0000 x1  6 Mn 2.27

Entry 7:
Density functional theory data (SCAN) for a crystal of TiMnCrGa2 relaxed with PBEsol.

Values from the calculation:
total DFT energy (no corrections)	-16.694	eV per atom
M_tot	4.70	μB per formula unit
energy of formation from the pure elements	378	meV per atom

Cell lengths 4.6102, 4.6102, 4.1735 Å; angles 90.00, 90.00, 90.00 degrees
Last column: nearest neighbours and their distance in Å.
Space group P4/mmm (No. 123)
Symmetry-distinct sites (fractional):
Ti: 0.0000 0.0000 0.0000 x1  2 Cr 2.09
Mn: 0.5000 0.5000 0.0000 x1  8 Ga 3.11, 4 Ti 3.26
Cr: 0.0000 0.0000 0.5000 x1  2 Ti 2.09, 4 Ga 2.31
Ga: 0.0000 0.5000 0.5000 x2  2 Cr 2.31

Entry 8:
Density functional theory data (SCAN) for a crystal of ZrMnCr2Ga relaxed with PBEsol.

Values from the calculation:
total DFT energy (no corrections)	-19.594	eV per atom
M_tot	10.16	μB per formula unit
energy of formation from the pure elements	820	meV per atom

Cell lengths 4.5029, 4.5029, 4.9691 Å; angles 90.00, 90.00, 90.00 degrees
Last column: nearest neighbours and their distance in Å.
Space group P4/mmm (No. 123)
Symmetry-distinct sites (fractional):
Zr: 0.0000 0.0000 0.0000 x1  2 Ga 2.48
Mn: 0.5000 0.5000 0.0000 x1  4 Zr 3.18, 8 Cr 3.35
Cr: 0.0000 0.5000 0.5000 x2  2 Ga 2.25
Ga: 0.0000 0.0000 0.5000 x1  4 Cr 2.25, 2 Zr 2.48

The lowest total DFT energy (no corrections) belongs to which entry?
MgCrGaRh2

Copy entry 2 word for word.
Density functional theory data (SCAN) for a crystal of Li4CrGa3O8 relaxed with PBEsol.

Values from the calculation:
total DFT energy (no corrections)	-10.109	eV per atom
energy relative to the elements, uncorrected	-2.181	eV/atom
M_tot	3.00	μB per formula unit

Cell lengths 4.9387, 5.4148, 6.4440 Å; angles 88.16, 88.98, 89.74 degrees
Last column: nearest neighbours and their distance in Å.
Space group P1 (No. 1)
Symmetry-distinct sites (fractional):
Li: 0.0000 0.0000 0.0000 x1  4 O 1.96-1.97
Li: 0.0013 0.5077 0.7390 x1  4 O 1.94-2.03
Li: 0.4895 0.6694 0.4911 x1  4 O 1.97-2.02
Li: 0.4912 0.1610 0.2484 x1  4 O 1.97-1.99
Cr: 0.9902 0.0021 0.5002 x1  4 O 1.86-1.89
Ga: 0.5029 0.6677 0.9915 x1  4 O 1.85-1.86
Ga: 0.5058 0.1756 0.7536 x1  4 O 1.85-1.88
Ga: 0.9979 0.4948 0.2394 x1  4 O 1.85-1.87
O: 0.3695 0.0232 0.5238 x1  1 Ga 1.86, 1 Cr 1.89, 2 Li 1.99-2.02
O: 0.3746 0.5096 0.2325 x1  2 Ga 1.85-1.86, 2 Li 1.97-1.99
O: 0.3970 0.5023 0.7581 x1  2 Ga 1.85-1.86, 2 Li 1.96-1.97
O: 0.3970 0.9955 0.9901 x1  2 Ga 1.85-1.86, 2 Li 1.96-1.98
O: 0.8788 0.6532 0.9986 x1  2 Ga 1.85-1.86, 2 Li 1.96-1.97
O: 0.8869 0.1655 0.7412 x1  1 Cr 1.87, 1 Ga 1.88, 2 Li 1.94-1.96
O: 0.8880 0.6724 0.4665 x1  1 Ga 1.85, 1 Cr 1.88, 2 Li 1.97-2.03
O: 0.8897 0.1647 0.2540 x1  1 Cr 1.86, 1 Ga 1.87, 2 Li 1.96-1.97